(1)
{
  "formula": "Sm4GeTe2As",
  "functional": "PBE",
  "state": "relaxed",
  "lattice": [[4.315, 0.000, 0.000], [0.000, 7.471, 0.131], [0.000, -2.611, 7.168]],
  "species": ["Sm", "Sm", "Sm", "Sm", "Ge", "Te", "Te", "As"],
  "fractional_positions": [[0.500, 0.243, 0.222], [0.500, 0.757, 0.778], [0.000, 0.261, 0.777], [0.000, 0.739, 0.223], [0.500, 0.500, 0.000], [0.500, 0.000, 0.500], [0.000, 0.500, 0.500], [0.000, 0.000, 0.000]],
  "sg": "No. 10",
  "energy_ev_per_atom": -5.695
}


(2)
{
  "formula": "TiHPd3",
  "functional": "PBE",
  "state": "relaxed",
  "lattice": [[4.942, -0.001, -2.696], [-1.488, 4.678, -2.726], [-0.120, -0.111, 5.657]],
  "species": ["Ti", "Ti", "H", "H", "Pd", "Pd", "Pd", "Pd", "Pd", "Pd"],
  "fractional_positions": [[0.149, 0.956, 0.747], [0.622, 0.430, 0.694], [0.886, 0.193, 0.221], [0.886, 0.693, 0.220], [0.632, 0.443, 0.220], [0.139, 0.942, 0.221], [0.632, 0.942, 0.221], [0.634, 0.941, 0.717], [0.137, 0.445, 0.724], [0.139, 0.443, 0.220]],
  "relative_energy_ev_per_atom": 0.000,
  "sg": "No. 71"
}


(3)
{
  "formula": "AlBiRh2",
  "functional": "PBE",
  "state": "relaxed",
  "lattice": [[-1.303, 2.352, -3.306], [1.048, -3.159, -2.660], [-7.962, -3.654, -2.208]],
  "species": ["Rh", "Rh", "Rh", "Rh", "Bi", "Bi", "Al", "Al"],
  "fractional_positions": [[0.591, 0.125, 0.250], [0.159, 0.625, 0.250], [0.375, 0.409, 0.750], [0.875, 0.841, 0.750], [0.000, 0.000, 0.000], [0.750, 0.250, 0.500], [0.500, 0.500, 0.000], [0.250, 0.750, 0.500]],
  "sg": "No. 122",
  "delta_e_f_ev_per_atom": 0.0210
}


(4)
{
  "formula": "AsCl",
  "functional": "PBE",
  "state": "relaxed",
  "lattice": [[-4.380, -2.253, -0.401], [-1.623, -2.064, -4.186], [-0.503, -4.878, -0.609]],
  "species": ["As", "As", "Cl", "Cl"],
  "fractional_positions": [[0.112, 0.112, 0.112], [0.888, 0.888, 0.888], [0.383, 0.383, 0.383], [0.617, 0.617, 0.617]],
  "sg": "No. 166",
  "energy_ev_per_atom": -2.998
}


(5)
{
  "formula": "La3SmHo7",
  "functional": "PBE",
  "state": "relaxed",
  "lattice": [[-2.435, 2.901, 7.934], [-3.597, -6.013, 1.095], [6.808, 0.460, 1.926]],
  "species": ["La", "La", "La", "Sm", "Ho", "Ho", "Ho", "Ho", "Ho", "Ho", "Ho"],
  "fractional_positions": [[0.784, 0.500, 0.500], [0.784, 0.500, 0.001], [0.784, 0.999, 0.500], [0.443, 0.333, 0.667], [0.123, 0.167, 0.833], [0.123, 0.167, 0.335], [0.124, 0.667, 0.333], [0.442, 0.833, 0.167], [0.442, 0.334, 0.167], [0.442, 0.832, 0.665], [0.123, 0.666, 0.833]],
  "relative_energy_ev_per_atom": 0.022,
  "sg": "No. 8",
  "delta_e_f_ev_per_atom": 0.1743
}


(6)
{
  "formula": "RbHf2Si",
  "functional": "PBE",
  "state": "relaxed",
  "lattice": [[-0.512, -4.297, -3.430], [3.845, -2.743, 2.862], [-5.001, -7.121, 5.221]],
  "species": ["Si", "Si", "Hf", "Hf", "Hf", "Hf", "Rb", "Rb"],
  "fractional_positions": [[0.500, 0.500, 0.000], [0.250, 0.750, 0.500], [0.361, 0.125, 0.250], [0.389, 0.625, 0.250], [0.375, 0.639, 0.750], [0.875, 0.611, 0.750], [0.000, 0.000, 0.000], [0.750, 0.250, 0.500]],
  "sg": "No. 122",
  "energy_ev_per_atom": -5.580
}


(7)
{
  "formula": "Dy3Y6Tm2Sc",
  "functional": "PBE",
  "state": "relaxed",
  "lattice": [[6.108, 0.002, -0.002], [-3.051, 5.291, -0.002], [-1.013, -1.754, 11.504]],
  "species": ["Dy", "Dy", "Dy", "Y", "Y", "Y", "Y", "Y", "Y", "Tm", "Tm", "Sc"],
  "fractional_positions": [[0.167, 0.833, 0.500], [0.833, 0.167, 0.500], [0.500, 0.500, 0.500], [0.918, 0.587, 0.754], [0.750, 0.750, 0.247], [0.082, 0.413, 0.246], [0.587, 0.918, 0.754], [0.250, 0.250, 0.753], [0.413, 0.082, 0.246], [0.333, 0.667, 0.000], [0.667, 0.333, 0.000], [0.000, 0.000, 0.000]],
  "sg": "No. 12",
  "delta_e_f_ev_per_atom": 0.0353
}


(8)
{
  "formula": "Tl2WBr",
  "functional": "PBE",
  "state": "relaxed",
  "lattice": [[-2.545, -1.192, -1.751], [2.991, 0.514, -1.324], [2.964, -10.293, 2.702]],
  "species": ["Tl", "Tl", "Br", "W"],
  "fractional_positions": [[0.000, 0.000, 0.020], [0.500, 0.500, 0.283], [0.500, 0.500, 0.689], [0.000, 0.000, 0.508]],
  "relative_energy_ev_per_atom": 0.109,
  "sg": "No. 35"
}


(9)
{
  "formula": "MnNiP2Cl",
  "functional": "PBE",
  "state": "relaxed",
  "lattice": [[4.227, 0.000, 0.000], [0.000, 4.227, 0.000], [0.000, 0.000, 5.001]],
  "species": ["Ni", "Mn", "P", "P", "Cl"],
  "fractional_positions": [[0.500, 0.500, 0.500], [0.000, 0.000, 0.000], [0.000, 0.500, 0.000], [0.500, 0.000, 0.000], [0.000, 0.000, 0.500]],
  "relative_energy_ev_per_atom": 0.000,
  "sg": "No. 123"
}


(10)
{
  "formula": "Ca3GeAs4",
  "functional": "PBE",
  "state": "relaxed",
  "lattice": [[-2.419, -7.597, 1.754], [5.519, -3.393, -7.085], [7.871, -0.982, 6.602]],
  "species": ["As", "As", "As", "As", "As", "As", "As", "As", "As", "As", "As", "As", "As", "As", "As", "As", "Ca", "Ca", "Ca", "Ca", "Ca", "Ca", "Ca", "Ca", "Ca", "Ca", "Ca", "Ca", "Ge", "Ge", "Ge", "Ge"],
  "fractional_positions": [[0.138, 0.955, 0.537], [0.638, 0.545, 0.963], [0.862, 0.045, 0.037], [0.362, 0.455, 0.463], [0.862, 0.045, 0.463], [0.362, 0.455, 0.037], [0.138, 0.955, 0.963], [0.638, 0.545, 0.537], [0.310, 0.286, 0.750], [0.810, 0.214, 0.750], [0.690, 0.714, 0.250], [0.190, 0.786, 0.250], [0.475, 0.888, 0.750], [0.975, 0.612, 0.750], [0.525, 0.112, 0.250], [0.025, 0.388, 0.250], [0.344, 0.589, 0.750], [0.844, 0.911, 0.750], [0.656, 0.411, 0.250], [0.156, 0.089, 0.250], [0.455, 0.812, 0.054], [0.955, 0.688, 0.446], [0.545, 0.188, 0.554], [0.045, 0.312, 0.946], [0.545, 0.188, 0.946], [0.045, 0.312, 0.554], [0.455, 0.812, 0.446], [0.955, 0.688, 0.054], [0.235, 0.044, 0.750], [0.735, 0.456, 0.750], [0.765, 0.956, 0.250], [0.265, 0.544, 0.250]],
  "sg": "No. 62",
  "delta_e_f_ev_per_atom": -0.7592
}


(11)
{
  "formula": "LiGa3N3",
  "functional": "PBE",
  "state": "relaxed",
  "lattice": [[5.823, 0.000, 0.000], [2.912, 5.043, 0.000], [2.912, 1.681, 6.386]],
  "species": ["Li", "Li", "Ga", "Ga", "Ga", "Ga", "Ga", "Ga", "N", "N", "N", "N", "N", "N"],
  "fractional_positions": [[0.329, 0.329, 0.013], [0.671, 0.671, 0.987], [0.429, 0.785, 0.674], [0.785, 0.112, 0.674], [0.112, 0.429, 0.674], [0.888, 0.571, 0.326], [0.215, 0.888, 0.326], [0.571, 0.215, 0.326], [0.241, 0.555, 0.300], [0.903, 0.241, 0.300], [0.555, 0.903, 0.300], [0.445, 0.097, 0.700], [0.097, 0.759, 0.700], [0.759, 0.445, 0.700]],
  "sg": "No. 148",
  "energy_ev_per_atom": -5.191
}


(12)
{
  "formula": "CuTc2Ir",
  "functional": "PBE",
  "state": "relaxed",
  "lattice": [[-1.479, -2.143, 3.804], [4.087, 0.735, 2.003], [-0.898, 2.344, 0.972]],
  "species": ["Cu", "Ir", "Tc", "Tc"],
  "fractional_positions": [[0.500, 0.000, 0.500], [0.000, 0.500, 0.500], [0.000, 0.000, 0.000], [0.500, 0.500, 0.000]],
  "relative_energy_ev_per_atom": 0.262,
  "sg": "No. 123",
  "delta_e_f_ev_per_atom": 0.3036
}


(13)
{
  "formula": "NaHg2Cl4",
  "functional": "PBE",
  "state": "relaxed",
  "lattice": [[6.500, 0.000, 0.000], [0.000, 6.500, 0.000], [0.000, 0.000, 5.804]],
  "species": ["Na", "Hg", "Hg", "Cl", "Cl", "Cl", "Cl"],
  "fractional_positions": [[0.000, 0.000, 0.000], [0.500, 0.000, 0.500], [0.000, 0.500, 0.500], [0.755, 0.245, 0.737], [0.245, 0.245, 0.263], [0.245, 0.755, 0.737], [0.755, 0.755, 0.263]],
  "sg": "No. 111",
  "energy_ev_per_atom": -2.083
}


(14)
{
  "formula": "Zr2CrHg2",
  "functional": "PBE",
  "state": "relaxed",
  "lattice": [[7.341, 0.000, 0.000], [0.000, 7.341, 0.000], [0.000, 0.000, 4.020]],
  "species": ["Cr", "Cr", "Hg", "Hg", "Hg", "Hg", "Zr", "Zr", "Zr", "Zr"],
  "fractional_positions": [[0.000, 0.000, 0.000], [0.500, 0.500, 0.000], [0.363, 0.863, 0.000], [0.863, 0.637, 0.000], [0.637, 0.137, 0.000], [0.137, 0.363, 0.000], [0.170, 0.670, 0.500], [0.670, 0.830, 0.500], [0.830, 0.330, 0.500], [0.330, 0.170, 0.500]],
  "sg": "No. 127",
  "delta_e_f_ev_per_atom": 0.1807
}


(15)
{
  "formula": "RbLiP3",
  "functional": "PBE",
  "state": "relaxed",
  "lattice": [[-5.110, -2.131, 0.393], [1.194, -3.608, -4.046], [1.809, -3.640, 3.780]],
  "species": ["P", "P", "P", "Rb", "Li"],
  "fractional_positions": [[0.000, 0.500, 0.000], [0.000, 0.000, 0.500], [0.500, 0.000, 0.000], [0.000, 0.000, 0.000], [0.500, 0.500, 0.500]],
  "relative_energy_ev_per_atom": 1.196,
  "sg": "No. 221",
  "delta_e_f_ev_per_atom": 1.7471
}


(16)
{
  "formula": "Cu3TcRu",
  "functional": "PBE",
  "state": "relaxed",
  "lattice": [[4.540, 0.000, 0.000], [0.000, 4.540, 0.000], [0.000, 0.000, 4.540]],
  "species": ["Ru", "Tc", "Cu", "Cu", "Cu"],
  "fractional_positions": [[0.000, 0.000, 0.000], [0.500, 0.500, 0.500], [0.000, 0.500, 0.000], [0.000, 0.000, 0.500], [0.500, 0.000, 0.000]],
  "relative_energy_ev_per_atom": 0.000,
  "sg": "No. 221",
  "delta_e_f_ev_per_atom": 1.6778
}


(17)
{
  "formula": "Y3Zn2Ga7",
  "functional": "PBE",
  "state": "relaxed",
  "lattice": [[4.182, 0.000, 0.000], [0.000, 4.187, -0.008], [0.000, -2.106, 13.466]],
  "species": ["Y", "Y", "Y", "Zn", "Zn", "Ga", "Ga", "Ga", "Ga", "Ga", "Ga", "Ga"],
  "fractional_positions": [[0.500, 0.500, 0.000], [0.000, 0.184, 0.369], [0.000, 0.816, 0.631], [0.500, 0.638, 0.274], [0.500, 0.362, 0.726], [0.500, 0.727, 0.454], [0.500, 0.273, 0.546], [0.000, 0.584, 0.166], [0.000, 0.000, 0.000], [0.000, 0.416, 0.834], [0.500, 0.917, 0.835], [0.500, 0.083, 0.165]],
  "sg": "No. 10",
  "delta_e_f_ev_per_atom": -0.4950
}


(18)
{
  "formula": "MnAgW2",
  "functional": "PBE",
  "state": "relaxed",
  "lattice": [[-4.398, -1.374, 1.115], [0.146, -4.738, -0.080], [2.843, 3.031, 2.281]],
  "species": ["Ag", "Mn", "W", "W"],
  "fractional_positions": [[0.500, 0.500, 0.000], [0.750, 0.250, 0.500], [0.000, 0.000, 0.000], [0.250, 0.750, 0.500]],
  "relative_energy_ev_per_atom": 0.267,
  "sg": "No. 119",
  "delta_e_f_ev_per_atom": 0.5936
}


(19)
{
  "formula": "Th2AlGe3Ir4",
  "functional": "PBE",
  "state": "relaxed",
  "lattice": [[-3.664, -1.554, -1.426], [1.767, -3.822, -0.375], [-2.844, -2.274, 9.783]],
  "species": ["Th", "Th", "Al", "Ge", "Ge", "Ge", "Ir", "Ir", "Ir", "Ir"],
  "fractional_positions": [[0.500, 0.000, 0.253], [0.000, 0.500, 0.747], [0.500, 0.500, 0.500], [0.000, 0.000, 0.500], [0.500, 0.000, 0.869], [0.000, 0.500, 0.131], [0.500, 0.500, 0.000], [0.000, 0.000, 0.000], [0.500, 0.000, 0.635], [0.000, 0.500, 0.365]],
  "sg": "No. 115",
  "delta_e_f_ev_per_atom": -0.8560
}


(20)
{
  "formula": "Na3PrSm2S6",
  "functional": "PBE",
  "state": "relaxed",
  "lattice": [[-5.102, 4.701, -1.581], [0.609, -5.995, -3.784], [-2.662, -2.661, 6.018]],
  "species": ["Na", "Na", "Na", "Pr", "Sm", "Sm", "S", "S", "S", "S", "S", "S"],
  "fractional_positions": [[0.167, 0.833, 0.500], [0.833, 0.167, 0.500], [0.500, 0.500, 0.500], [0.000, 0.000, 0.000], [0.333, 0.667, 0.000], [0.667, 0.333, 0.000], [0.923, 0.584, 0.768], [0.739, 0.739, 0.233], [0.077, 0.416, 0.232], [0.584, 0.923, 0.768], [0.261, 0.261, 0.767], [0.416, 0.077, 0.232]],
  "sg": "No. 12",
  "energy_ev_per_atom": -5.382
}